Computed, not measured: a relaxed NaSr4Ca7 crystal at the PBE-GGA level of DFT.

Output
Formation energy: 0.027 eV/atom
Theoretical density: 1.98 g/cm³
Raw total energy: -0.1331 Ry/atom
Polymorph energy (0 for the lowest one): 0.000 eV per formula unit
D(E_F): 1.10 states/eV per atom

a b c (Å): 20.456 4.089 14.708
angles (deg): 90.00 116.78 90.00
Space group Cm (No. 8)
Inequivalent atoms, fractional coordinates:
Na: 0.000 0.000 0.000
Sr: 0.046 0.500 0.249
Sr: 0.137 0.000 0.751
Sr: 0.172 0.500 0.015
Sr: 0.348 0.500 0.516
Ca: 0.009 0.500 0.497
Ca: 0.176 0.000 0.508
Ca: 0.221 0.000 0.270
Ca: 0.306 0.500 0.755
Ca: 0.341 0.000 0.004
Ca: 0.377 0.500 0.254
Ca: 0.472 0.000 0.767

***

Computed, not measured: a relaxed KMgPtCl6 crystal at the PBE-GGA level of DFT.

Output
Formation energy from raw total energies: -1.2141 eV/atom
Theoretical density: 3.06 g/cm³
Raw total energy: -0.2510 Ry/atom

a b c (Å): 6.625 10.919 7.083
angles (deg): 90.00 92.05 90.00
Space group C2 (No. 5)
Inequivalent atoms, fractional coordinates:
K: 0.000 0.000 0.000
Mg: 0.000 0.673 0.500
Pt: 0.000 0.332 0.500
Cl: 0.133 0.490 0.692
Cl: 0.172 0.183 0.687
Cl: 0.182 0.811 0.718

***

Computed, not measured: a relaxed Hf7Ga2Bi2 crystal at the PBE-GGA level of DFT.

Output
Formation energy: 0.110 eV/atom
Theoretical density: 11.72 g/cm³
Raw total energy: -0.5498 Ry/atom
D(E_F): 0.73 states/eV per atom

a b c (Å): 7.283 12.650 5.565
angles (deg): 90.00 93.40 90.00
Space group C2/m (No. 12)
Inequivalent atoms, fractional coordinates:
Hf: 0.000 0.000 0.000
Hf: 0.149 0.291 0.215
Hf: 0.171 0.500 0.640
Ga: 0.150 0.500 0.135
Bi: 0.000 0.127 0.500

***

Computed, not measured: a relaxed La3InO crystal at the PBE-GGA level of DFT.

Output
Formation energy from raw total energies: -1.2608 eV/atom
Theoretical density: 5.93 g/cm³
Raw total energy: -0.4231 Ry/atom
D(E_F): 0.93 states/eV per atom

a b c (Å): 7.072 7.280 12.028
angles (deg): 90.00 97.81 90.00
Space group P2_1/c (No. 14)
Inequivalent atoms, fractional coordinates:
La: 0.007 0.072 0.306
La: 0.264 0.075 0.995
La: 0.481 0.175 0.738
In: 0.322 0.622 0.011
O: 0.177 0.145 0.803

***

Computed, not measured: a relaxed Ti2MoAu2 crystal at the PBE-GGA level of DFT.

Output
Formation energy: -0.303 eV/atom
Theoretical density: 11.09 g/cm³
Raw total energy: -0.5099 Ry/atom
D(E_F): 0.59 states/eV per atom

a b c (Å): 3.238 16.971 3.192
angles (deg): 90.00 90.00 90.00
Space group Cmmm (No. 65)
Inequivalent atoms, fractional coordinates:
Ti: 0.000 0.087 0.000
Mo: 0.000 0.500 0.500
Au: 0.000 0.318 0.500

***

Computed, not measured: a relaxed Rb3CuI5 crystal at the PBE-GGA level of DFT.

Output
Formation energy from raw total energies: -0.9987 eV/atom
Theoretical density: 3.93 g/cm³
Raw total energy: -0.1939 Ry/atom
D(E_F): 1.35 states/eV per atom

a b c (Å): 10.044 10.044 16.009
angles (deg): 90.00 90.00 90.00
Space group I4/mcm (No. 140)
Inequivalent atoms, fractional coordinates:
Rb: 0.000 0.000 0.250
Rb: 0.157 0.343 0.000
Cu: 0.000 0.500 0.250
I: 0.000 0.000 0.000
I: 0.144 0.356 0.350

***

Computed, not measured: a relaxed ReAg2Pb crystal at the PBE-GGA level of DFT.

Output
Formation energy: 0.707 eV/atom
Theoretical density: 12.82 g/cm³
Raw total energy: -0.3497 Ry/atom
D(E_F): 0.68 states/eV per atom

a b c (Å): 3.286 4.792 10.020
angles (deg): 90.00 90.00 90.00
Space group Cmm2 (No. 35)
Inequivalent atoms, fractional coordinates:
Re: 0.000 0.000 0.000
Ag: 0.000 0.000 0.541
Ag: 0.000 0.500 0.771
Pb: 0.000 0.500 0.248

***

Computed, not measured: a relaxed TaNb4 crystal at the PBE-GGA level of DFT.

Output
Formation energy: 1.514 eV/atom
Theoretical density: 8.06 g/cm³
Raw total energy: -0.6551 Ry/atom
Polymorph energy (0 for the lowest one): 3.880 eV per formula unit
D(E_F): 0.96 states/eV per atom

a b c (Å): 4.846 4.846 4.846
angles (deg): 90.00 90.00 90.00
Space group Pm-3m (No. 221)
Inequivalent atoms, fractional coordinates:
Ta: 0.000 0.000 0.000
Nb: 0.000 0.000 0.500
Nb: 0.500 0.500 0.500